Below is SrMnBiSbO6 after structural relaxation, with properties calculated at the PBE+U level.

Summary:
Crystal system: monoclinic
Volume: 13.77 A^3/atom
Energy above the lowest structure with this stoichiometry: 0.000 eV/atom
Total magnetic moment: 10.00 μB/cell

Cell: 5.647 5.942 9.949 Å, 90.00 124.41 90.00°
Atoms (fractional coordinates):
1 Sr 0.000 0.207 0.000
2 Sr 0.000 0.793 0.500
3 Mn 0.761 0.241 0.252
4 Mn 0.761 0.759 0.752
5 Bi 0.541 0.312 0.526
6 Bi 0.541 0.688 0.026
7 Sb 0.259 0.243 0.745
8 Sb 0.259 0.757 0.245
9 O 0.118 0.214 0.506
10 O 0.118 0.786 0.006
11 O 0.426 0.295 0.983
12 O 0.426 0.705 0.483
13 O 0.489 0.039 0.294
14 O 0.489 0.961 0.794
15 O 0.580 0.429 0.762
16 O 0.580 0.571 0.262
17 O 0.919 0.058 0.701
18 O 0.919 0.942 0.201
19 O 0.997 0.488 0.187
20 O 0.997 0.512 0.687